Entry 1:
ReAsSe2 | Alexandria via LeMat-Bulk | PBE-GGA | optimized geometry; total moment = 0.00 μB/f.u.; crystal system = trigonal; formation energy without anion corrections = 2.3 eV per formula unit; energy = -5.438 eV per atom
1.0
2.819 0.000 0.000
-1.410 2.442 0.000
0.000 0.000 37.833
Re As Se
3 3 6
direct
0.000 0.000 0.000
0.333 0.667 0.667
0.667 0.333 0.333
0.000 0.000 0.500
0.333 0.667 0.167
0.667 0.333 0.833
0.000 0.000 0.066
0.000 0.000 0.934
0.333 0.667 0.601
0.333 0.667 0.733
0.667 0.333 0.267
0.667 0.333 0.399

***

Entry 2:
Dy2ErHfN4 | Alexandria via LeMat-Bulk | PBE-GGA | optimized geometry; total moment = 0.00 μB/f.u.; crystal system = monoclinic; formation energy without anion corrections = -14.3 eV per formula unit; energy = -8.910 eV per atom
1.0
5.855 0.000 0.000
0.000 3.374 0.000
-1.930 0.000 5.539
Dy Er Hf N
2 1 1 4
direct
0.000 0.000 0.000
0.500 0.500 0.000
0.000 0.500 0.500
0.500 0.000 0.500
0.258 0.000 0.738
0.266 0.500 0.268
0.734 0.500 0.732
0.742 0.000 0.262